(1)
6
Lattice="2.886 0.000 0.000 0.000 2.886 0.000 0.000 0.000 11.271" Properties=species:S:1:pos:R:3 comment="PBE-GGA InCoW, relaxed" n_ef_per_ev_fu=2.0 delta_e_f_ev_per_atom=0.2523 crystal_system=tetragonal e_tot_ev_per_atom=-7.347 pbc="T T T"
In 0.000 0.000 0.000
In 1.443 1.443 5.635
Co 0.000 0.000 7.523
Co 1.443 1.443 1.888
W 0.000 0.000 3.403
W 1.443 1.443 9.038

=====

(2)
8
Lattice="7.483 0.000 0.000 3.741 6.487 0.000 3.736 2.157 6.740" Properties=species:S:1:pos:R:3 comment="PBE-GGA TiTlI6, relaxed" n_ef_per_ev_fu=7.4 crystal_system=triclinic e_tot_ev_per_atom=-2.965 de_polymorph_ev_per_fu=0.06 formation_energy_uncorrected_mev_per_atom=-519 pbc="T T T"
Ti 0.000 0.000 0.000
Tl 7.480 4.322 3.370
I 4.678 4.226 5.187
I 6.002 6.705 1.558
I 8.800 6.797 5.183
I 6.160 1.847 1.557
I 8.958 1.939 5.182
I 10.282 4.418 1.553

=====

Repeat the first record exactly.
6
Lattice="2.886 0.000 0.000 0.000 2.886 0.000 0.000 0.000 11.271" Properties=species:S:1:pos:R:3 comment="PBE-GGA InCoW, relaxed" n_ef_per_ev_fu=2.0 delta_e_f_ev_per_atom=0.2523 crystal_system=tetragonal e_tot_ev_per_atom=-7.347 pbc="T T T"
In 0.000 0.000 0.000
In 1.443 1.443 5.635
Co 0.000 0.000 7.523
Co 1.443 1.443 1.888
W 0.000 0.000 3.403
W 1.443 1.443 9.038

=====

Which formula does entry 2 have? TiTlI6